DFT (PBE-GGA) results for La2Nd3Ho4 after structural relaxation.

```
La2Nd3Ho4
1.0
-0.155 -3.598 0.441
1.771 2.049 2.414
-22.694 2.734 14.326
Ho La Nd
4 2 3
Cartesian
-4.558 -1.108 4.283
-12.258 1.477 7.738
-17.168 2.068 10.838
-9.449 -0.518 7.371
-1.673 -1.455 2.462
-19.151 0.651 13.496
-7.437 0.896 4.695
-22.320 2.689 14.090
-14.233 0.058 10.391
```

SG: P3m1, No. 156
electronic total energy: -4.657 eV per atom